Record 1
Entry from the Alexandria database: CsInPt2 after structural relaxation (PBE).

Geometry as extended XYZ:
```
8
Lattice="-4.022 4.022 3.762 4.022 -4.022 3.762 4.022 4.022 -3.762" Properties=species:S:1:pos:R:3 pbc="T T T"
Cs 0.000 0.000 0.000
Cs 0.000 4.022 1.881
In 4.022 0.000 1.881
In 0.000 0.000 3.762
Pt 2.011 -1.362 2.821
Pt 2.660 2.011 0.940
Pt 2.011 5.383 -0.940
Pt 1.362 2.011 4.702
```

The value obtained for the density of states at the Fermi level is 0.0 states/eV/f.u. The value obtained for the calculated total energy is -3.69 eV per atom.


Record 2
Entry from the Alexandria database: CsRbIn2Pt after structural relaxation (PBE).

Geometry as extended XYZ:
```
5
Lattice="5.343 0.000 0.000 0.000 5.343 0.000 0.000 0.000 6.643" Properties=species:S:1:pos:R:3 pbc="T T T"
Cs 0.000 0.000 0.000
Rb 2.671 2.671 0.000
In 0.000 2.671 3.322
In 2.671 0.000 3.322
Pt 0.000 0.000 3.322
```

The value obtained for the density of states at the Fermi level is 2.8 states/eV/f.u. The value obtained for the calculated total energy is -2.79 eV per atom.


Record 3
Entry from the Alexandria database: CsRb2InPt after structural relaxation (PBE).

Geometry as extended XYZ:
```
5
Lattice="6.694 0.000 0.000 0.000 6.694 0.000 0.000 0.000 5.306" Properties=species:S:1:pos:R:3 pbc="T T T"
Cs 0.000 0.000 0.000
Rb 0.000 3.347 2.653
Rb 3.347 0.000 2.653
In 3.347 3.347 0.000
Pt 3.347 3.347 2.653
```

The value obtained for the density of states at the Fermi level is 2.2 states/eV/f.u. The value obtained for the calculated total energy is -2.38 eV per atom.


Record 4
Entry from the Alexandria database: Cs2RbInPt after structural relaxation (PBE).

Geometry as extended XYZ:
```
5
Lattice="6.947 0.000 0.000 0.000 6.947 0.000 0.000 0.000 5.312" Properties=species:S:1:pos:R:3 pbc="T T T"
Cs 0.000 3.473 0.000
Cs 3.473 0.000 0.000
Rb 0.000 0.000 2.656
In 3.473 3.473 2.656
Pt 3.473 3.473 0.000
```

The value obtained for the density of states at the Fermi level is 2.7 states/eV/f.u. The value obtained for the calculated total energy is -2.35 eV per atom.


Record 5
Entry from the Alexandria database: CsRbIn2Pt after structural relaxation (PBE).

Geometry as extended XYZ:
```
5
Lattice="5.317 0.000 0.000 0.000 5.317 0.000 0.000 0.000 6.499" Properties=species:S:1:pos:R:3 pbc="T T T"
Cs 0.000 0.000 0.000
Rb 2.658 2.658 0.000
In 0.000 2.658 3.249
In 2.658 0.000 3.249
Pt 2.658 2.658 3.249
```

The value obtained for the density of states at the Fermi level is 2.6 states/eV/f.u. The value obtained for the calculated total energy is -2.83 eV per atom.


Record 6
Entry from the Alexandria database: CsTlIn2Pt after structural relaxation (PBE).

Geometry as extended XYZ:
```
5
Lattice="5.345 0.000 0.000 0.000 5.345 0.000 0.000 0.000 5.708" Properties=species:S:1:pos:R:3 pbc="T T T"
Cs 0.000 0.000 0.000
Tl 2.673 2.673 0.000
In 0.000 2.673 2.854
In 2.673 0.000 2.854
Pt 2.673 2.673 2.854
```

The value obtained for the density of states at the Fermi level is 3.2 states/eV/f.u. The value obtained for the calculated total energy is -3.08 eV per atom.


Record 7
Entry from the Alexandria database: CsTl2InPt after structural relaxation (PBE).

Geometry as extended XYZ:
```
5
Lattice="5.625 0.000 0.000 0.000 5.625 0.000 0.000 0.000 5.337" Properties=species:S:1:pos:R:3 pbc="T T T"
Cs 0.000 0.000 0.000
Tl 0.000 2.813 2.669
Tl 2.813 0.000 2.669
In 2.813 2.813 0.000
Pt 2.813 2.813 2.669
```

The value obtained for the density of states at the Fermi level is 3.3 states/eV/f.u. The value obtained for the calculated total energy is -2.97 eV per atom.


Record 8
Entry from the Alexandria database: CsZnInPt2 after structural relaxation (PBE).

Geometry as extended XYZ:
```
5
Lattice="4.902 0.000 0.000 0.000 4.902 0.000 0.000 0.000 5.793" Properties=species:S:1:pos:R:3 pbc="T T T"
Cs 0.000 0.000 0.000
Zn 0.000 0.000 2.897
In 2.451 2.451 0.000
Pt 0.000 2.451 2.897
Pt 2.451 0.000 2.897
```

The value obtained for the density of states at the Fermi level is 3.5 states/eV/f.u. The value obtained for the calculated total energy is -2.89 eV per atom.


Record 9
Entry from the Alexandria database: CsZn2InPt after structural relaxation (PBE).

Geometry as extended XYZ:
```
5
Lattice="5.109 0.000 0.000 0.000 5.109 0.000 0.000 0.000 6.650" Properties=species:S:1:pos:R:3 pbc="T T T"
Cs 0.000 0.000 0.000
Zn 0.000 2.555 3.325
Zn 2.555 0.000 3.325
In 0.000 0.000 3.325
Pt 2.555 2.555 0.000
```

The value obtained for the density of states at the Fermi level is 4.5 states/eV/f.u. The value obtained for the calculated total energy is -1.65 eV per atom.


Record 10
Entry from the Alexandria database: CsZn2InPt after structural relaxation (PBE).

Geometry as extended XYZ:
```
5
Lattice="5.119 0.000 0.000 0.000 5.119 0.000 0.000 0.000 5.220" Properties=species:S:1:pos:R:3 pbc="T T T"
Cs 0.000 0.000 0.000
Zn 0.000 2.560 2.610
Zn 2.560 0.000 2.610
In 2.560 2.560 0.000
Pt 2.560 2.560 2.610
```

The value obtained for the density of states at the Fermi level is 1.5 states/eV/f.u. The value obtained for the calculated total energy is -2.67 eV per atom.


Record 11
Entry from the Alexandria database: Cs3Pu3InS8 after structural relaxation (PBE).

Geometry as extended XYZ:
```
15
Lattice="4.074 2.352 8.140 -4.074 2.352 8.140 0.000 -4.705 8.140" Properties=species:S:1:pos:R:3 pbc="T T T"
Cs -2.037 -1.176 8.140
Cs -2.037 1.176 16.280
Cs 0.000 2.352 8.140
Pu -4.074 0.000 12.210
Pu -2.037 1.176 4.070
Pu 2.037 1.176 4.070
In 0.000 0.000 12.210
S 0.000 0.000 5.506
S -2.012 -1.162 13.630
S 0.000 -2.324 10.790
S -2.012 1.162 10.790
S 2.012 -1.162 13.630
S 0.000 2.324 13.630
S 2.012 1.162 10.790
S 0.000 0.000 18.914
```

The value obtained for the density of states at the Fermi level is 27.6 states/eV/f.u. The value obtained for the calculated total energy is -6.77 eV per atom.


Record 12
Entry from the Alexandria database: CsPuInS4 after structural relaxation (PBE).

Geometry as extended XYZ:
```
14
Lattice="6.821 0.000 0.000 0.000 6.924 0.000 -1.053 0.000 9.026" Properties=species:S:1:pos:R:3 pbc="T T T"
Cs 1.319 1.731 0.574
Cs 4.448 5.193 8.452
Pu 0.699 5.193 4.106
Pu 5.068 1.731 4.920
In 1.757 1.731 5.913
In 4.010 5.193 3.113
S -0.019 3.493 6.178
S -0.019 6.893 6.178
S 2.031 5.193 1.692
S 2.728 1.731 3.663
S 3.040 5.193 5.364
S 3.736 1.731 7.335
S 5.786 0.031 2.848
S 5.786 3.431 2.848
```

The value obtained for the density of states at the Fermi level is 8.9 states/eV/f.u. The value obtained for the calculated total energy is -5.96 eV per atom.